An optimized crystal structure of Ho3Ge. Source: the Alexandria database, functional PBE.

Properties
* density: 9.4 g/cm³
* energy relative to the lowest polymorph listed for this composition: 53.9 meV per atom

Lattice parameters (Å, degrees): 4.643 4.643 4.643 90.00 90.00 90.00
Positions (direct):
Ho  0.500  0.000  0.500
Ho  0.000  0.500  0.500
Ho  0.500  0.500  0.000
Ge  0.000  0.000  0.000


An optimized crystal structure of HoGe5. Source: the Alexandria database, functional PBE.

Properties
* density: 7.3 g/cm³
* DFT total energy: -4.711 eV per atom

Lattice parameters (Å, degrees): 4.077 4.247 7.250 107.03 90.00 90.00
Positions (direct):
Ge  0.500  0.824  0.648
Ge  0.500  0.176  0.352
Ge  0.500  0.500  0.000
Ge  0.000  0.340  0.680
Ge  0.000  0.660  0.320
Ho  0.000  0.000  0.000


An optimized crystal structure of Ho3Ge. Source: the Alexandria database, functional PBE.

Properties
* density: 7.9 g/cm³
* energy relative to the lowest polymorph listed for this composition: 227.7 meV per atom

Lattice parameters (Å, degrees): 3.988 3.987 7.460 90.00 90.00 90.00
Each line ends with the local moment (μB).
Positions (direct):
Ho  0.500  0.000  0.729  0.15
Ho  0.000  0.500  0.438  0.15
Ho  0.500  0.500  0.084  0.06
Ge  0.000  0.000  0.083  0.00


An optimized crystal structure of Ho3Ge2. Source: the Alexandria database, functional PBE.

Properties
* density: 7.7 g/cm³
* DFT total energy: -5.245 eV per atom

Lattice parameters (Å, degrees): 4.414 9.002 10.785 97.50 90.00 104.19
Positions (direct):
Ho  0.175  0.349  0.961
Ho  0.500  0.000  0.000
Ho  0.534  0.067  0.658
Ho  0.466  0.933  0.342
Ho  0.128  0.255  0.285
Ho  0.209  0.417  0.623
Ho  0.825  0.651  0.039
Ho  0.791  0.583  0.377
Ho  0.872  0.745  0.715
Ge  0.032  0.065  0.817
Ge  0.640  0.280  0.473
Ge  0.360  0.720  0.527
Ge  0.327  0.653  0.870
Ge  0.673  0.347  0.130
Ge  0.968  0.935  0.183


Q: Among the records above, which one has the lowest density?
A: HoGe5


What did the first record say?
An optimized crystal structure of Ho3Ge. Source: the Alexandria database, functional PBE.

Properties
* density: 9.4 g/cm³
* energy relative to the lowest polymorph listed for this composition: 53.9 meV per atom

Lattice parameters (Å, degrees): 4.643 4.643 4.643 90.00 90.00 90.00
Positions (direct):
Ho  0.500  0.000  0.500
Ho  0.000  0.500  0.500
Ho  0.500  0.500  0.000
Ge  0.000  0.000  0.000


Q: Among the records above, which one has the highest density?
A: number 1


Q: Which formula does entry 4 have?
A: Ho3Ge2